Here is a relaxed structure of YMgTlGa from Alexandria. Energies are from PBE.

Summary:
DOS at the Fermi energy   2.08 states/eV per cell
Excess energy over the best structure of this formula in the dataset   80 meV per atom
Total DFT energy (no corrections)   -3.634 eV per atom
Energy of formation from the pure elements   -271 meV per atom

Lattice parameters (Å, degrees): 5.112 5.112 5.112 60.00 60.00 60.00
Element x y z (fractional)
Mg 0.250 0.250 0.250
Ga 0.500 0.500 0.500
Tl 0.000 0.000 0.000
Y 0.750 0.750 0.750

=====

Here is a relaxed structure of Re3C from Alexandria. Energies are from PBE.

Summary:
DOS at the Fermi energy   9.91 states/eV per cell
Excess energy over the best structure of this formula in the dataset   232 meV per atom
Total DFT energy (no corrections)   -11.428 eV per atom
Energy of formation from the pure elements   215 meV per atom

Lattice parameters (Å, degrees): 4.877 5.325 7.723 90.00 90.00 90.00
Element x y z (fractional)
Re 0.668 0.190 0.574
Re 0.831 0.960 0.250
Re 0.332 0.810 0.426
Re 0.668 0.190 0.926
C 0.925 0.389 0.750
Re 0.168 0.310 0.074
Re 0.169 0.040 0.750
C 0.425 0.111 0.250
C 0.575 0.889 0.750
Re 0.832 0.690 0.574
Re 0.669 0.460 0.250
C 0.075 0.611 0.250
Re 0.168 0.310 0.426
Re 0.332 0.810 0.074
Re 0.331 0.540 0.750
Re 0.832 0.690 0.926

=====

Here is a relaxed structure of Th3HgOs from Alexandria. Energies are from PBE.

Summary:
DOS at the Fermi energy   17.22 states/eV per cell
Excess energy over the best structure of this formula in the dataset   0 meV per atom
Total DFT energy (no corrections)   -6.987 eV per atom
Energy of formation from the pure elements   -229 meV per atom

Lattice parameters (Å, degrees): 4.810 7.366 16.008 90.00 90.00 90.00
Element x y z (fractional)
Os 0.250 0.765 0.546
Hg 0.250 0.073 0.189
Hg 0.750 0.927 0.811
Th 0.250 0.363 0.551
Th 0.250 0.006 0.404
Hg 0.250 0.573 0.311
Th 0.750 0.637 0.449
Th 0.250 0.863 0.949
Th 0.750 0.994 0.596
Th 0.750 0.290 0.278
Th 0.250 0.710 0.722
Os 0.750 0.235 0.454
Os 0.250 0.265 0.954
Th 0.250 0.506 0.096
Hg 0.750 0.427 0.689
Th 0.750 0.790 0.222
Th 0.750 0.494 0.904
Th 0.750 0.137 0.051
Th 0.250 0.210 0.778
Os 0.750 0.735 0.046

=====

Here is a relaxed structure of Na3Th3CuS8 from Alexandria. Energies are from PBE.

Summary:
Formation energy without anion corrections   -1.472 eV/atom
Total DFT energy (no corrections)   -5.694 eV per atom

Lattice parameters (Å, degrees): 8.410 8.070 8.111 119.29 90.00 121.41
Element x y z (fractional)
S 0.207 0.413 0.685
S 0.250 0.499 0.260
Cu 0.000 0.000 0.500
Th 0.500 0.500 0.500
S 0.284 0.020 0.264
S 0.716 0.980 0.736
Th 0.500 0.000 0.500
Th 0.000 0.500 0.500
S 0.750 0.501 0.740
Na 0.500 0.500 0.000
Na 0.000 0.500 0.000
S 0.793 0.587 0.315
S 0.264 0.980 0.736
S 0.736 0.020 0.264
Na 0.000 0.000 0.000